(1)
AlCrCl6 | GGA-PBE | relaxed

M_tot: 3.00 μB/f.u.
Space group: C2/m (12)
Uncorrected energy: -34.1 eV per formula unit
E_form (uncorrected): -1202 meV per atom

Cell lengths 5.8615, 6.9644, 6.9644 Å; angles 130.22, 97.68, 97.68 degrees
With the nearest neighbours (Å) after each atom.
Sites, in units of the cell vectors:
Al 0.0000 0.0000 0.0000  6 Cl 2.32-2.41
Cr 0.5000 0.5000 0.5000  6 Cl 2.35-2.37
Cl 0.7554 0.6289 0.8824  1 Al 2.32, 1 Cr 2.37
Cl 0.7554 0.8824 0.6289  1 Al 2.32, 1 Cr 2.37
Cl 0.2446 0.1176 0.3711  1 Al 2.32, 1 Cr 2.37
Cl 0.2446 0.3711 0.1176  1 Al 2.32, 1 Cr 2.37
Cl 0.7474 0.2530 0.2530  1 Cr 2.35, 1 Al 2.41
Cl 0.2526 0.7470 0.7470  1 Cr 2.35, 1 Al 2.41

***

(2)
Sc2Ag4Se5 | GGA-PBE | relaxed

M_tot: 0.00 μB/f.u.
Space group: R-3m (166)
Fermi-level density of states: 0.58 states/eV/atom
Uncorrected energy: -48.3 eV per formula unit
E_form (uncorrected): -620 meV per atom

Cell lengths 4.0618, 4.0618, 18.3739 Å; angles 83.65, 83.65, 60.00 degrees
With the nearest neighbours (Å) after each atom.
Sites, in units of the cell vectors:
Sc 0.1382 0.1382 0.5855  6 Se 2.76-2.82
Sc 0.8618 0.8618 0.4145  6 Se 2.76-2.82
Ag 0.6841 0.6841 0.9478  3 Se 2.57
Ag 0.5836 0.5836 0.2493  4 Se 2.55-2.81
Ag 0.4164 0.4164 0.7507  4 Se 2.55-2.81
Ag 0.3159 0.3159 0.0522  3 Se 2.57
Se 0.7781 0.7781 0.6658  3 Sc 2.76, 3 Ag 2.81
Se 0.6302 0.6302 0.1095  4 Ag 2.55-2.57
Se 0.5000 0.5000 0.5000  6 Sc 2.82
Se 0.3698 0.3698 0.8905  4 Ag 2.55-2.57
Se 0.2219 0.2219 0.3342  3 Sc 2.76, 3 Ag 2.81

***

(3)
Pm5Si5Os2 | GGA-PBE | relaxed

M_tot: 0.00 μB/f.u.
Space group: C2/m (12)
Fermi-level density of states: 0.48 states/eV/atom
Uncorrected energy: -79.5 eV per formula unit
E_form (uncorrected): -512 meV per atom

Cell lengths 4.2885, 6.4942, 10.1995 Å; angles 96.07, 90.00, 109.28 degrees
With the nearest neighbours (Å) after each atom.
Sites, in units of the cell vectors:
Pm 0.5000 0.0000 0.5000  6 Si 3.16-3.33, 4 Pm 3.51
Pm 0.6516 0.3033 0.0943  5 Si 2.93-3.27
Pm 0.7806 0.5612 0.3972  1 Os 2.90, 5 Si 3.03-3.08, 2 Pm 3.15
Pm 0.2194 0.4388 0.6028  1 Os 2.90, 5 Si 3.03-3.08, 2 Pm 3.15
Pm 0.3484 0.6967 0.9057  5 Si 2.93-3.27
Si 0.1039 0.2078 0.3225  1 Os 2.39
Si 0.6558 0.3116 0.7895  2 Os 2.40
Si 0.3442 0.6884 0.2105  2 Os 2.40
Si 0.8961 0.7922 0.6775  1 Os 2.39
Si 0.0000 0.0000 0.0000  2 Os 2.25
Os 0.0713 0.1426 0.8059  4 Si 2.25-2.40
Os 0.9287 0.8574 0.1941  4 Si 2.25-2.40

***

(4)
Th2HgPd | GGA-PBE | relaxed

M_tot: 0.00 μB/f.u.
Space group: R3m (160)
Fermi-level density of states: 1.04 states/eV/atom
Uncorrected energy: -21.6 eV per formula unit
Formation energy: -0.310 eV per atom

Cell lengths 3.9371, 3.9371, 8.8215 Å; angles 77.11, 77.11, 60.00 degrees
With the nearest neighbours (Å) after each atom.
Sites, in units of the cell vectors:
Th 0.0727 0.0727 0.7818  3 Pd 2.91
Th 0.2604 0.2604 0.2187  3 Pd 2.97
Hg 0.4986 0.4986 0.5042  6 Th 3.28-3.33
Pd 0.6683 0.6683 0.9952  6 Th 2.91-2.97

***

(5)
LiPPbO2 | GGA-PBE | relaxed

M_tot: 1.38 μB/f.u.
Space group: P4/mmm (123)
Fermi-level density of states: 0.73 states/eV/atom
Uncorrected energy: -20.6 eV per formula unit
E_form (uncorrected): 62 meV per atom

Cell lengths 3.9369, 3.9369, 4.6412 Å; angles 90.00, 90.00, 90.00 degrees
With the nearest neighbours (Å) after each atom.
Sites, in units of the cell vectors:
Pb 0.5000 0.5000 0.5000  4 P 2.78, 8 O 3.04
P 0.0000 0.0000 0.5000  2 Li 2.32
O 0.0000 0.5000 0.0000  2 Li 1.97
O 0.5000 0.0000 0.0000  2 Li 1.97
Li 0.0000 0.0000 0.0000  4 O 1.97

***

(6)
MgTe2N | GGA-PBE | relaxed

M_tot: 0.00 μB/f.u.
Space group: R-3m (166)
Fermi-level density of states: 0.60 states/eV/atom
Uncorrected energy: -14.4 eV per formula unit
E_form (uncorrected): 443 meV per atom

Cell lengths 7.2312, 7.2312, 7.2312 Å; angles 36.54, 36.54, 36.54 degrees
With the nearest neighbours (Å) after each atom.
Sites, in units of the cell vectors:
Mg 0.5000 0.5000 0.5000  6 Te 2.99
Te 0.9044 0.9044 0.9044  1 N 1.93
Te 0.0956 0.0956 0.0956  1 N 1.93
N 0.0000 0.0000 0.0000  2 Te 1.93